Entry 1:
First-principles (PBE) data for a relaxed AcCe2Pt2 crystal, as listed in the Alexandria database.

As for the space group: C2/m, No. 12. The calculated formation energy comes out at -3.93 eV per formula unit. The total energy comes out at -0.235 Ha/atom.

Cell: 8.454 8.454 11.112 Å, 129.56 129.56 29.70°
Fractional coordinates of all 10 atoms:
1 Ac 0.137 0.137 0.481
2 Ac 0.863 0.863 0.519
3 Ce 0.114 0.114 0.094
4 Ce 0.378 0.378 0.169
5 Ce 0.622 0.622 0.831
6 Ce 0.886 0.886 0.906
7 Pt 0.235 0.235 0.828
8 Pt 0.405 0.405 0.748
9 Pt 0.595 0.595 0.252
10 Pt 0.765 0.765 0.172


Entry 2:
First-principles (PBE) data for a relaxed YZr2TlCd crystal, as listed in the Alexandria database.

As for the space group: P4/mmm, No. 123. The calculated formation energy comes out at 3.57 eV per formula unit. The total energy comes out at -0.171 Ha/atom.

Cell: 5.290 5.290 5.485 Å, 90.00 90.00 90.00°
Fractional coordinates of all 5 atoms:
1 Y 0.000 0.000 0.000
2 Zr 0.000 0.500 0.500
3 Zr 0.500 0.000 0.500
4 Tl 0.500 0.500 0.000
5 Cd 0.000 0.000 0.500


Entry 3:
First-principles (PBE) data for a relaxed Pr5Tm4Sc crystal, as listed in the Alexandria database.

As for the space group: P4/mmm, No. 123. The calculated formation energy comes out at 0.29 eV per formula unit. The total energy comes out at -0.176 Ha/atom.

Cell: 3.622 3.622 24.703 Å, 90.00 90.00 90.00°
Fractional coordinates of all 10 atoms:
1 Pr 0.000 0.000 0.000
2 Pr 0.000 0.000 0.203
3 Pr 0.000 0.000 0.406
4 Pr 0.000 0.000 0.594
5 Pr 0.000 0.000 0.797
6 Tm 0.500 0.500 0.102
7 Tm 0.500 0.500 0.305
8 Tm 0.500 0.500 0.695
9 Tm 0.500 0.500 0.898
10 Sc 0.500 0.500 0.500


Entry 4:
First-principles (PBE) data for a relaxed KLiCu2 crystal, as listed in the Alexandria database.

As for the space group: Fm-3m, No. 225. The calculated formation energy comes out at 2.10 eV per formula unit. The total energy comes out at -0.084 Ha/atom. The value obtained for the energy above the most stable polymorph in this dataset is 0.374 eV/atom.

Cell: 5.031 5.031 5.031 Å, 60.00 60.00 60.00°
Fractional coordinates of all 4 atoms:
1 K 0.000 0.000 0.000
2 Li 0.500 0.500 0.500
3 Cu 0.250 0.250 0.250
4 Cu 0.750 0.750 0.750


Entry 5:
First-principles (PBE) data for a relaxed SnS3Br crystal, as listed in the Alexandria database.

As for the space group: Pm-3m, No. 221. Its uncorrected formation energy is 0.627 eV/atom. The total energy comes out at -0.110 Ha/atom. The value obtained for the energy above the most stable polymorph in this dataset is 0.000 eV/atom.

Cell: 5.084 5.084 5.084 Å, 90.00 90.00 90.00°
Fractional coordinates of all 5 atoms:
1 Sn 0.000 0.000 0.000
2 S 0.000 0.000 0.500
3 S 0.000 0.500 0.000
4 S 0.500 0.000 0.000
5 Br 0.500 0.500 0.500


Entry 6:
First-principles (PBE) data for a relaxed Nd4Bi2O crystal, as listed in the Alexandria database.

As for the space group: P2_1/m, No. 11. Its uncorrected formation energy is -1.292 eV/atom. The total energy comes out at -0.214 Ha/atom.

Cell: 6.646 6.860 9.593 Å, 90.00 108.72 90.00°
Fractional coordinates of all 14 atoms:
1 Nd 0.042 0.003 0.302
2 Nd 0.042 0.497 0.302
3 Nd 0.334 0.250 0.041
4 Nd 0.430 0.250 0.663
5 Nd 0.570 0.750 0.337
6 Nd 0.666 0.750 0.959
7 Nd 0.958 0.503 0.698
8 Nd 0.958 0.997 0.698
9 Bi 0.199 0.750 0.023
10 Bi 0.356 0.750 0.606
11 Bi 0.644 0.250 0.394
12 Bi 0.801 0.250 0.977
13 O 0.192 0.250 0.788
14 O 0.808 0.750 0.212